Entry 1:
{
  "formula": "Pm2SmDy8",
  "functional": "PBE",
  "state": "optimized geometry",
  "lattice_angstrom": [[5.303, 0.001, -1.609], [-0.994, 7.363, -3.275], [-0.043, -0.308, 9.387]],
  "species": ["Dy", "Dy", "Dy", "Dy", "Dy", "Dy", "Dy", "Dy", "Sm", "Pm", "Pm"],
  "frac_coords": [[0.638, 0.430, 0.275], [0.638, 0.845, 0.275], [0.839, 0.839, 0.678], [0.000, 0.707, 0.000], [0.000, 0.293, 0.000], [0.362, 0.155, 0.725], [0.161, 0.161, 0.322], [0.362, 0.570, 0.725], [0.500, 0.000, 0.000], [0.200, 0.700, 0.401], [0.800, 0.300, 0.599]],
  "volume_a3_per_atom": 32.74,
  "e_above_lowest_polymorph_mev_per_atom": 0.0,
  "magmom_total_mub_per_atom": 0.000,
  "sg": "No. 71",
  "crystal_system": "orthorhombic"
}

Entry 2:
{
  "formula": "PmSm4Dy15",
  "functional": "PBE",
  "state": "optimized geometry",
  "lattice_angstrom": [[5.044, 0.000, 0.000], [0.000, 5.044, 0.000], [0.000, 0.000, 25.160]],
  "species": ["Dy", "Dy", "Dy", "Dy", "Dy", "Dy", "Dy", "Dy", "Dy", "Dy", "Dy", "Dy", "Dy", "Dy", "Dy", "Sm", "Sm", "Sm", "Sm", "Pm"],
  "frac_coords": [[0.000, 0.500, 0.900], [0.500, 0.500, 0.800], [0.500, 0.000, 0.500], [0.500, 0.500, 0.000], [0.500, 0.500, 0.200], [0.000, 0.500, 0.500], [0.000, 0.500, 0.100], [0.000, 0.500, 0.700], [0.500, 0.500, 0.600], [0.500, 0.000, 0.900], [0.500, 0.000, 0.100], [0.500, 0.000, 0.700], [0.500, 0.000, 0.300], [0.000, 0.500, 0.300], [0.500, 0.500, 0.400], [0.000, 0.000, 0.800], [0.000, 0.000, 0.400], [0.000, 0.000, 0.600], [0.000, 0.000, 0.200], [0.000, 0.000, 0.000]],
  "volume_a3_per_atom": 32.01,
  "magmom_total_mub_per_atom": 0.000,
  "sg": "No. 123",
  "dft_energy_ev_per_cell": -92.30,
  "crystal_system": "tetragonal"
}

Entry 3:
{
  "formula": "Pm12Sm7Dy",
  "functional": "PBE",
  "state": "optimized geometry",
  "lattice_angstrom": [[8.861, 0.529, 0.794], [-1.956, 8.658, 0.794], [-1.956, -2.603, 8.296]],
  "species": ["Sm", "Sm", "Sm", "Sm", "Sm", "Sm", "Sm", "Pm", "Pm", "Pm", "Pm", "Pm", "Pm", "Pm", "Pm", "Pm", "Pm", "Pm", "Pm", "Dy"],
  "frac_coords": [[0.144, 0.144, 0.410], [0.500, 0.500, 0.500], [0.410, 0.144, 0.144], [0.856, 0.856, 0.590], [0.144, 0.410, 0.144], [0.856, 0.590, 0.856], [0.590, 0.856, 0.856], [0.592, 0.158, 0.593], [0.000, 0.740, 0.260], [0.740, 0.000, 0.260], [0.000, 0.260, 0.740], [0.408, 0.842, 0.407], [0.260, 0.000, 0.740], [0.158, 0.593, 0.592], [0.842, 0.407, 0.408], [0.593, 0.592, 0.158], [0.407, 0.408, 0.842], [0.740, 0.260, 0.000], [0.260, 0.740, 0.000], [0.000, 0.000, 0.000]],
  "volume_a3_per_atom": 34.00,
  "e_above_lowest_polymorph_mev_per_atom": 0.0,
  "magmom_total_mub_per_atom": 0.000,
  "sg": "No. 166",
  "crystal_system": "trigonal"
}

Entry 4:
{
  "formula": "Pm3Sm2Dy",
  "functional": "PBE",
  "state": "optimized geometry",
  "lattice_angstrom": [[-3.504, 2.950, 4.303], [-5.784, -8.541, -3.440], [2.145, -2.786, 5.194]],
  "species": ["Sm", "Sm", "Sm", "Sm", "Pm", "Pm", "Pm", "Pm", "Pm", "Pm", "Dy", "Dy"],
  "frac_coords": [[0.125, 0.374, 0.375], [0.375, 0.124, 0.124], [0.625, 0.876, 0.876], [0.875, 0.626, 0.625], [0.710, 0.459, 0.126], [0.542, 0.291, 0.626], [0.458, 0.709, 0.374], [0.207, 0.958, 0.625], [0.290, 0.541, 0.874], [0.793, 0.042, 0.375], [0.042, 0.792, 0.124], [0.958, 0.208, 0.876]],
  "volume_a3_per_atom": 33.67,
  "e_above_lowest_polymorph_mev_per_atom": 21.9,
  "magmom_total_mub_per_atom": 0.000,
  "sg": "No. 2",
  "crystal_system": "triclinic"
}

Entry 5:
{
  "formula": "PmSm2Dy",
  "functional": "PBE",
  "state": "optimized geometry",
  "lattice_angstrom": [[3.611, 0.000, 0.000], [1.806, 3.127, 0.000], [1.806, 1.042, 11.784]],
  "species": ["Dy", "Sm", "Sm", "Pm"],
  "frac_coords": [[0.500, 0.500, 0.500], [0.751, 0.751, 0.747], [0.249, 0.249, 0.253], [0.000, 0.000, 0.000]],
  "volume_a3_per_atom": 33.27,
  "e_above_lowest_polymorph_mev_per_atom": 0.0,
  "magmom_total_mub_per_atom": 0.000,
  "sg": "No. 166",
  "crystal_system": "trigonal"
}

Entry 6:
{
  "formula": "Pm3Sm2Dy8",
  "functional": "PBE",
  "state": "optimized geometry",
  "lattice_angstrom": [[-4.968, -2.647, 0.179], [1.788, -2.888, 6.896], [-5.067, 9.591, 1.046]],
  "species": ["Pm", "Pm", "Pm", "Dy", "Dy", "Dy", "Dy", "Dy", "Dy", "Dy", "Dy", "Sm", "Sm"],
  "frac_coords": [[0.000, 0.709, 0.000], [0.000, 0.291, 0.000], [0.500, 0.000, 0.000], [0.000, 0.133, 0.266], [0.500, 0.398, 0.216], [0.500, 0.182, 0.784], [0.500, 0.602, 0.784], [0.500, 0.818, 0.216], [0.999, 0.333, 0.665], [0.000, 0.867, 0.734], [0.001, 0.667, 0.335], [0.499, 0.242, 0.483], [0.501, 0.758, 0.517]],
  "volume_a3_per_atom": 33.96,
  "e_above_lowest_polymorph_mev_per_atom": 228.5,
  "magmom_total_mub_per_atom": 0.000,
  "sg": "No. 12",
  "crystal_system": "monoclinic"
}

Entry 7:
{
  "formula": "Pm4Sm5Dy",
  "functional": "PBE",
  "state": "optimized geometry",
  "lattice_angstrom": [[6.150, 0.000, 0.000], [3.075, 7.498, 0.000], [3.075, 0.000, 7.498]],
  "species": ["Sm", "Sm", "Sm", "Sm", "Sm", "Pm", "Pm", "Pm", "Pm", "Dy"],
  "frac_coords": [[0.772, 0.378, 0.999], [0.772, 0.001, 0.378], [0.150, 0.999, 0.622], [0.689, 0.000, 0.000], [0.149, 0.622, 0.001], [0.115, 0.324, 0.325], [0.763, 0.676, 0.675], [0.439, 0.675, 0.324], [0.439, 0.325, 0.676], [0.222, 0.000, 0.000]],
  "volume_a3_per_atom": 34.58,
  "e_above_lowest_polymorph_mev_per_atom": 63.2,
  "magmom_total_mub_per_atom": 0.000,
  "sg": "No. 107",
  "crystal_system": "tetragonal"
}

Entry 8:
{
  "formula": "PmSmDy3",
  "functional": "PBE",
  "state": "optimized geometry",
  "lattice_angstrom": [[6.092, -0.627, -1.003], [-3.286, 7.178, -5.222], [-0.735, -1.590, 9.313]],
  "species": ["Dy", "Dy", "Dy", "Dy", "Dy", "Dy", "Sm", "Sm", "Pm", "Pm"],
  "frac_coords": [[0.750, 0.500, 0.250], [0.250, 0.500, 0.750], [0.152, 0.301, 0.250], [0.848, 0.699, 0.750], [0.348, 0.699, 0.250], [0.652, 0.301, 0.750], [0.051, 0.101, 0.750], [0.949, 0.899, 0.250], [0.552, 0.101, 0.251], [0.448, 0.899, 0.749]],
  "volume_a3_per_atom": 32.45,
  "e_above_lowest_polymorph_mev_per_atom": 0.0,
  "magmom_total_mub_per_atom": 0.000,
  "sg": "No. 2",
  "crystal_system": "triclinic"
}

Entry 9:
{
  "formula": "Pm4SmDy2",
  "functional": "PBE",
  "state": "optimized geometry",
  "lattice_angstrom": [[-4.371, 11.770, -0.442], [6.397, -9.449, -5.254], [-6.056, -3.131, 0.255]],
  "species": ["Pm", "Pm", "Pm", "Pm", "Pm", "Pm", "Pm", "Pm", "Sm", "Sm", "Dy", "Dy", "Dy", "Dy"],
  "frac_coords": [[0.185, 0.793, 0.900], [0.793, 0.185, 0.400], [0.178, 0.715, 0.370], [0.596, 0.559, 0.631], [0.036, 0.144, 0.601], [0.715, 0.178, 0.870], [0.144, 0.036, 0.101], [0.559, 0.596, 0.131], [0.675, 0.425, 0.000], [0.425, 0.675, 0.500], [0.303, 0.622, 0.948], [0.924, 0.105, 0.052], [0.105, 0.924, 0.552], [0.622, 0.303, 0.448]],
  "volume_a3_per_atom": 33.71,
  "e_above_lowest_polymorph_mev_per_atom": 0.0,
  "magmom_total_mub_per_atom": 0.000,
  "sg": "No. 43",
  "crystal_system": "orthorhombic"
}

Entry 10:
{
  "formula": "Pm8Sm2Dy",
  "functional": "PBE",
  "state": "optimized geometry",
  "lattice_angstrom": [[-0.603, 1.843, -4.763], [-5.695, -5.625, -1.455], [-4.282, 6.368, 5.783]],
  "species": ["Pm", "Pm", "Pm", "Pm", "Pm", "Pm", "Pm", "Pm", "Sm", "Sm", "Dy"],
  "frac_coords": [[0.045, 0.728, 0.091], [0.955, 0.272, 0.909], [0.591, 0.453, 0.181], [0.136, 0.181, 0.272], [0.864, 0.819, 0.728], [0.409, 0.547, 0.819], [0.681, 0.909, 0.363], [0.319, 0.091, 0.637], [0.773, 0.364, 0.546], [0.227, 0.636, 0.454], [0.500, 0.000, 0.000]],
  "volume_a3_per_atom": 33.97,
  "e_above_lowest_polymorph_mev_per_atom": 0.0,
  "magmom_total_mub_per_atom": 0.000,
  "sg": "No. 12",
  "crystal_system": "monoclinic"
}

Entry 11:
{
  "formula": "Pm3Sm7Dy2",
  "functional": "PBE",
  "state": "optimized geometry",
  "lattice_angstrom": [[3.609, 0.000, 0.000], [0.000, 5.909, 0.277], [0.000, -1.935, 18.963]],
  "species": ["Pm", "Pm", "Pm", "Sm", "Sm", "Sm", "Sm", "Sm", "Sm", "Sm", "Dy", "Dy"],
  "frac_coords": [[0.000, 0.219, 0.367], [0.000, 0.781, 0.633], [0.500, 0.500, 0.000], [0.500, 0.743, 0.464], [0.500, 0.187, 0.180], [0.000, 0.685, 0.145], [0.500, 0.257, 0.536], [0.000, 0.315, 0.855], [0.000, 0.000, 0.000], [0.500, 0.813, 0.820], [0.500, 0.709, 0.295], [0.500, 0.291, 0.705]],
  "volume_a3_per_atom": 33.87,
  "e_above_lowest_polymorph_mev_per_atom": 0.0,
  "magmom_total_mub_per_atom": 0.000,
  "sg": "No. 10",
  "crystal_system": "monoclinic"
}

Entry 12:
{
  "formula": "Pm3SmDy4",
  "functional": "PBE",
  "state": "optimized geometry",
  "lattice_angstrom": [[-5.420, -2.378, -2.189], [2.838, -0.270, -6.734], [3.848, -10.659, 2.049]],
  "species": ["Dy", "Dy", "Dy", "Dy", "Dy", "Dy", "Dy", "Dy", "Pm", "Pm", "Pm", "Pm", "Pm", "Pm", "Sm", "Sm"],
  "frac_coords": [[0.148, 0.877, 0.000], [0.481, 0.878, 0.250], [0.648, 0.122, 0.000], [0.648, 0.123, 0.500], [0.148, 0.878, 0.500], [0.981, 0.122, 0.250], [0.481, 0.878, 0.750], [0.981, 0.122, 0.750], [0.981, 0.627, 0.250], [0.647, 0.627, 0.000], [0.147, 0.373, 0.500], [0.481, 0.373, 0.250], [0.481, 0.373, 0.750], [0.981, 0.627, 0.750], [0.147, 0.373, 0.000], [0.647, 0.627, 0.500]],
  "volume_a3_per_atom": 33.21,
  "e_above_lowest_polymorph_mev_per_atom": 8.5,
  "magmom_total_mub_per_atom": 0.000,
  "sg": "No. 31",
  "crystal_system": "orthorhombic"
}

Entry 13:
{
  "formula": "Pm4Sm4Dy3",
  "functional": "PBE",
  "state": "optimized geometry",
  "lattice_angstrom": [[-0.864, -0.050, -3.540], [9.188, 0.829, -2.255], [-3.201, -11.247, 2.817]],
  "species": ["Pm", "Pm", "Pm", "Pm", "Sm", "Sm", "Sm", "Sm", "Dy", "Dy", "Dy"],
  "frac_coords": [[0.500, 0.815, 0.000], [0.500, 0.185, 0.000], [0.260, 0.760, 0.520], [0.740, 0.240, 0.480], [0.643, 0.819, 0.286], [0.643, 0.467, 0.286], [0.357, 0.533, 0.714], [0.357, 0.181, 0.714], [0.000, 0.500, 0.000], [0.892, 0.892, 0.785], [0.108, 0.108, 0.215]],
  "volume_a3_per_atom": 34.29,
  "e_above_lowest_polymorph_mev_per_atom": 73.4,
  "magmom_total_mub_per_atom": 0.000,
  "sg": "No. 71",
  "crystal_system": "orthorhombic"
}

Entry 14:
{
  "formula": "Pm8SmDy5",
  "functional": "PBE",
  "state": "optimized geometry",
  "lattice_angstrom": [[8.165, 0.000, -2.544], [-4.198, 6.819, -3.002], [0.232, 0.000, 8.549]],
  "species": ["Dy", "Dy", "Dy", "Dy", "Dy", "Pm", "Pm", "Pm", "Pm", "Pm", "Pm", "Pm", "Pm", "Sm"],
  "frac_coords": [[0.279, 0.097, 0.964], [0.500, 0.000, 0.500], [0.867, 0.903, 0.182], [0.818, 0.685, 0.721], [0.036, 0.315, 0.133], [0.341, 0.266, 0.432], [0.726, 0.256, 0.331], [0.075, 0.744, 0.470], [0.530, 0.605, 0.274], [0.166, 0.734, 0.075], [0.925, 0.091, 0.659], [0.568, 0.909, 0.834], [0.669, 0.395, 0.925], [0.250, 0.500, 0.750]],
  "volume_a3_per_atom": 34.29,
  "magmom_total_mub_per_atom": 0.000,
  "sg": "No. 82",
  "dft_energy_ev_per_cell": -62.33,
  "crystal_system": "tetragonal"
}

Entry 15:
{
  "formula": "Pm3Sm12Dy",
  "functional": "PBE",
  "state": "optimized geometry",
  "lattice_angstrom": [[5.127, 0.000, 0.000], [0.000, 5.127, 0.000], [0.000, 0.000, 20.499]],
  "species": ["Sm", "Sm", "Sm", "Sm", "Sm", "Sm", "Sm", "Sm", "Sm", "Sm", "Sm", "Sm", "Pm", "Pm", "Pm", "Dy"],
  "frac_coords": [[0.500, 0.500, 0.249], [0.000, 0.500, 0.375], [0.000, 0.500, 0.625], [0.000, 0.500, 0.876], [0.500, 0.000, 0.124], [0.500, 0.000, 0.625], [0.500, 0.500, 0.500], [0.500, 0.000, 0.876], [0.500, 0.500, 0.751], [0.500, 0.500, 0.000], [0.500, 0.000, 0.375], [0.000, 0.500, 0.124], [0.000, 0.000, 0.249], [0.000, 0.000, 0.500], [0.000, 0.000, 0.751], [0.000, 0.000, 0.000]],
  "volume_a3_per_atom": 33.67,
  "magmom_total_mub_per_atom": 0.000,
  "sg": "No. 123",
  "dft_energy_ev_per_cell": -75.25,
  "crystal_system": "tetragonal"
}

Entry 16:
{
  "formula": "PmSmDy2",
  "functional": "PBE",
  "state": "optimized geometry",
  "lattice_angstrom": [[3.553, 0.000, 0.000], [0.000, 5.598, 0.000], [-1.776, 0.000, 6.605]],
  "species": ["Dy", "Dy", "Pm", "Sm"],
  "frac_coords": [[0.947, 0.500, 0.894], [0.303, 0.000, 0.606], [0.688, 0.500, 0.376], [0.562, 0.000, 0.124]],
  "volume_a3_per_atom": 32.84,
  "e_above_lowest_polymorph_mev_per_atom": 38.3,
  "magmom_total_mub_per_atom": 0.000,
  "sg": "No. 38",
  "crystal_system": "orthorhombic"
}

Entry 17:
{
  "formula": "Pm6Sm3Dy",
  "functional": "PBE",
  "state": "optimized geometry",
  "lattice_angstrom": [[8.835, 0.000, 4.688], [3.173, 8.245, 4.688], [2.229, 1.531, 6.467]],
  "species": ["Sm", "Sm", "Sm", "Pm", "Pm", "Pm", "Pm", "Pm", "Pm", "Dy"],
  "frac_coords": [[0.100, 0.100, 0.699], [0.350, 0.350, 0.950], [0.600, 0.600, 0.201], [0.273, 0.927, 0.198], [0.098, 0.427, 0.702], [0.773, 0.098, 0.702], [0.927, 0.602, 0.198], [0.602, 0.273, 0.198], [0.427, 0.773, 0.702], [0.850, 0.850, 0.450]],
  "volume_a3_per_atom": 34.43,
  "e_above_lowest_polymorph_mev_per_atom": 100.3,
  "magmom_total_mub_per_atom": 0.000,
  "sg": "No. 148",
  "crystal_system": "trigonal"
}

Entry 18:
{
  "formula": "Pm3Sm3Dy2",
  "functional": "PBE",
  "state": "optimized geometry",
  "lattice_angstrom": [[6.178, 1.447, 0.000], [-1.325, 5.656, 0.000], [0.000, 0.000, 14.672]],
  "species": ["Pm", "Pm", "Pm", "Pm", "Pm", "Pm", "Sm", "Sm", "Sm", "Sm", "Sm", "Sm", "Dy", "Dy", "Dy", "Dy"],
  "frac_coords": [[0.337, 0.750, 0.750], [0.167, 0.250, 0.624], [0.663, 0.250, 0.250], [0.833, 0.750, 0.124], [0.167, 0.250, 0.876], [0.833, 0.750, 0.376], [0.333, 0.750, 0.500], [0.667, 0.250, 0.000], [0.667, 0.250, 0.500], [0.329, 0.750, 0.250], [0.671, 0.250, 0.750], [0.333, 0.750, 0.000], [0.836, 0.750, 0.875], [0.164, 0.250, 0.375], [0.164, 0.250, 0.125], [0.836, 0.750, 0.625]],
  "volume_a3_per_atom": 33.80,
  "e_above_lowest_polymorph_mev_per_atom": 0.0,
  "magmom_total_mub_per_atom": 0.000,
  "sg": "No. 59",
  "crystal_system": "orthorhombic"
}

Entry 19:
{
  "formula": "Pm3SmDy6",
  "functional": "PBE",
  "state": "optimized geometry",
  "lattice_angstrom": [[6.325, 0.000, 0.000], [0.000, 10.845, -1.606], [0.000, -3.986, 10.213]],
  "species": ["Dy", "Dy", "Dy", "Dy", "Dy", "Dy", "Dy", "Dy", "Dy", "Dy", "Dy", "Dy", "Sm", "Sm", "Pm", "Pm", "Pm", "Pm", "Pm", "Pm"],
  "frac_coords": [[0.379, 0.959, 0.041], [0.044, 0.712, 0.621], [0.372, 0.532, 0.951], [0.044, 0.379, 0.288], [0.544, 0.288, 0.379], [0.872, 0.468, 0.049], [0.544, 0.621, 0.712], [0.879, 0.041, 0.959], [0.372, 0.049, 0.468], [0.872, 0.951, 0.532], [0.648, 0.275, 0.725], [0.148, 0.725, 0.275], [0.633, 0.803, 0.197], [0.133, 0.197, 0.803], [0.570, 0.612, 0.388], [0.070, 0.388, 0.612], [0.462, 0.938, 0.712], [0.962, 0.712, 0.938], [0.462, 0.288, 0.062], [0.962, 0.062, 0.288]],
  "volume_a3_per_atom": 33.00,
  "e_above_lowest_polymorph_mev_per_atom": 0.0,
  "magmom_total_mub_per_atom": 0.000,
  "sg": "No. 36",
  "crystal_system": "orthorhombic"
}

Entry 20:
{
  "formula": "PmSm7Dy2",
  "functional": "PBE",
  "state": "optimized geometry",
  "lattice_angstrom": [[4.426, -7.681, 0.000], [4.426, 7.681, 0.000], [0.000, 0.000, 5.761]],
  "species": ["Sm", "Sm", "Sm", "Sm", "Sm", "Sm", "Sm", "Dy", "Dy", "Pm"],
  "frac_coords": [[0.500, 0.500, 0.500], [0.078, 0.299, 0.500], [0.346, 0.654, 0.000], [0.299, 0.078, 0.500], [0.922, 0.701, 0.500], [0.701, 0.922, 0.500], [0.654, 0.346, 0.000], [0.283, 0.717, 0.500], [0.717, 0.283, 0.500], [0.000, 0.000, 0.000]],
  "volume_a3_per_atom": 39.18,
  "e_above_lowest_polymorph_mev_per_atom": 2.6,
  "magmom_total_mub_per_atom": 0.000,
  "sg": "No. 65",
  "crystal_system": "orthorhombic"
}